DyMgInGa | PBE | optimized geometry

Summary:
Calculated volume, Å³/atom: 23.01
Distance to the lowest polymorph of the same formula, meV/atom: 98
Formation enthalpy at 0 K, meV/atom: -314

```
data_DyMgInGa
_chemical_formula_sum 'Dy4 Mg4 In4 Ga4'
_cell_length_a 7.167
_cell_length_b 7.167
_cell_length_c 7.167
_cell_angle_alpha 90.00
_cell_angle_beta 90.00
_cell_angle_gamma 90.00
_space_group_name_H-M_alt 'F -4 3 m'
_space_group_IT_number 216
_space_group_name_Hall 'F -4 2 3'
loop_
_atom_site_label
_atom_site_type_symbol
_atom_site_fract_x
_atom_site_fract_y
_atom_site_fract_z
Dy1 Dy 0.000 0.000 0.000
Mg1 Mg 0.000 0.000 0.500
In1 In 0.250 0.250 0.750
Ga1 Ga 0.250 0.250 0.250
```


NaDyInGa | PBE | optimized geometry

Summary:
Calculated volume, Å³/atom: 24.24
Formation enthalpy at 0 K, meV/atom: -261

```
data_NaDyInGa
_chemical_formula_sum 'Na4 Dy4 In4 Ga4'
_cell_length_a 7.292
_cell_length_b 7.292
_cell_length_c 7.292
_cell_angle_alpha 90.00
_cell_angle_beta 90.00
_cell_angle_gamma 90.00
_space_group_name_H-M_alt 'F -4 3 m'
_space_group_IT_number 216
_space_group_name_Hall 'F -4 2 3'
loop_
_atom_site_label
_atom_site_type_symbol
_atom_site_fract_x
_atom_site_fract_y
_atom_site_fract_z
Na1 Na 0.000 0.000 0.000
Dy1 Dy 0.000 0.000 0.500
In1 In 0.250 0.250 0.750
Ga1 Ga 0.250 0.250 0.250
```


Dy2InGa2Ni5 | PBE | optimized geometry

Summary:
Calculated volume, Å³/atom: 16.20
Formation enthalpy at 0 K, meV/atom: -369

```
data_Dy2InGa2Ni5
_chemical_formula_sum 'Dy4 In2 Ga4 Ni10'
_cell_length_a 9.525
_cell_length_b 9.525
_cell_length_c 3.572
_cell_angle_alpha 90.00
_cell_angle_beta 90.00
_cell_angle_gamma 90.00
_space_group_name_H-M_alt 'P 4/m b m'
_space_group_IT_number 127
_space_group_name_Hall '-P 4 2ab'
loop_
_atom_site_label
_atom_site_type_symbol
_atom_site_fract_x
_atom_site_fract_y
_atom_site_fract_z
Dy1 Dy 0.180 0.320 0.000
In1 In 0.000 0.000 0.000
Ga1 Ga 0.117 0.617 0.000
Ni1 Ni 0.000 0.500 0.500
Ni2 Ni 0.061 0.783 0.500
```


Dy2InGaO6 | PBE | optimized geometry

Summary:
Calculated volume, Å³/atom: 14.11
Formation energy from raw total energies, eV/atom: -2.443

```
data_Dy2InGaO6
_chemical_formula_sum 'Dy2 In1 Ga1 O6'
_cell_length_a 5.266
_cell_length_b 5.266
_cell_length_c 5.090
_cell_angle_alpha 90.00
_cell_angle_beta 90.00
_cell_angle_gamma 90.00
_space_group_name_H-M_alt 'P 4 m m'
_space_group_IT_number 99
loop_
_space_group_symop_operation_xyz
'x,y,z'
'-y,x,z'
'-x,-y,z'
'y,-x,z'
'-x,y,z'
'y,x,z'
'x,-y,z'
'-y,-x,z'
loop_
_atom_site_label
_atom_site_type_symbol
_atom_site_fract_x
_atom_site_fract_y
_atom_site_fract_z
Dy1 Dy 0.000 0.500 0.000
In1 In 0.000 0.000 0.571
Ga1 Ga 0.500 0.500 0.595
O1 O 0.000 0.000 0.169
O2 O 0.259 0.259 0.749
O3 O 0.500 0.500 0.229
```